1.
Compound: ZnTeOs2
Source: Alexandria via LeMat-Bulk
Functional: PBE
Structure: optimized geometry

Properties
relative energy among the computed polymorphs = 454 meV per atom
E_form (uncorrected) = 865 meV/atom
density = 14.27 Mg/m³
calculated volume = 16.679 A^3/atom

Cell lengths 5.2987, 5.2987, 2.9728 Å; angles 73.71, 73.71, 112.30 degrees
Sites, in units of the cell vectors:
Te  0.5000  0.0000  0.5000
Os  0.0000  0.0000  0.0000
Zn  0.0000  0.5000  0.5000
Os  0.5000  0.5000  0.0000



2.
Compound: ZnTeOs2
Source: Alexandria via LeMat-Bulk
Functional: PBE
Structure: optimized geometry

Properties
relative energy among the computed polymorphs = 196 meV per atom
E_form (uncorrected) = 606 meV/atom
density = 15.10 Mg/m³
calculated volume = 15.762 A^3/atom

Cell lengths 3.1855, 3.1857, 6.2127 Å; angles 90.00, 90.00, 90.00 degrees
Sites, in units of the cell vectors:
Zn  0.5000  0.5000  0.7500
Te  0.5000  0.5000  0.2500
Os  0.0000  0.0000  0.5104
Os  0.0000  0.0000  0.9896



3.
Compound: ZnTeOs2
Source: Alexandria via LeMat-Bulk
Functional: PBE
Structure: optimized geometry

Properties
relative energy among the computed polymorphs = 0 meV per atom
E_form (uncorrected) = 411 meV/atom
density = 12.69 Mg/m³
calculated volume = 18.762 A^3/atom

Cell lengths 3.4437, 2.8395, 8.1830 Å; angles 69.70, 90.00, 90.00 degrees
Sites, in units of the cell vectors:
Te  0.0000  0.1486  0.4763
Os  0.5000  0.4343  0.1909
Os  0.0000  0.1029  0.0221
Zn  0.5000  0.8142  0.8107



4.
Compound: ZnTeOs2
Source: Alexandria via LeMat-Bulk
Functional: PBE
Structure: optimized geometry

Properties
relative energy among the computed polymorphs = 346 meV per atom
E_form (uncorrected) = 756 meV/atom
density = 14.47 Mg/m³
calculated volume = 16.458 A^3/atom

Cell lengths 8.4118, 8.4118, 8.4118 Å; angles 20.82, 20.82, 20.82 degrees
Sites, in units of the cell vectors:
Te  0.2500  0.2500  0.2500
Zn  0.7500  0.7500  0.7500
Os  0.4987  0.4987  0.4987
Os  0.0013  0.0013  0.0013



Magnetic moment (computed, μB per atom): 0.00; 0.00; 0.00; 0.00